[1]
NaCd10In2 | PBE | relaxed

Structure (POSCAR):
```
NaCd10In2
1.0
0.0000 7.1241 7.3096
3.0906 0.0000 7.3096
3.0906 7.1241 0.0000
Na Cd In
1 10 2
direct
0.0000 0.0000 0.0000 Na
0.0000 0.0000 0.5000 Cd
0.0064 0.6462 0.3538 Cd
0.2883 0.5035 0.4965 Cd
0.3538 0.9936 0.0064 Cd
0.4965 0.7117 0.2883 Cd
0.5000 0.5000 0.0000 Cd
0.5035 0.2883 0.7117 Cd
0.6462 0.0064 0.9936 Cd
0.7117 0.4965 0.5035 Cd
0.9936 0.3538 0.6462 Cd
0.0000 0.5000 0.0000 In
0.5000 0.0000 0.5000 In
```

***

[2]
Dy4MnSe7 PBE relaxed; formation energy from raw total energies = -1.60 eV per atom
1.0
6.5632 -1.9855 0.0000
6.5632 1.9855 0.0000
-3.1953 0.0000 11.6038
Dy Mn Se
4 1 7
direct
0.0000 0.0000 0.0000 Dy
0.3855 0.3855 0.5932 Dy
0.5684 0.5684 0.3512 Dy
0.6926 0.6926 0.7910 Dy
0.8006 0.8006 0.2084 Mn
0.0308 0.0308 0.7364 Se
0.1758 0.1758 0.2627 Se
0.3543 0.3543 0.8389 Se
0.4129 0.4129 0.1381 Se
0.6562 0.6562 0.0093 Se
0.7251 0.7251 0.5679 Se
0.9380 0.9380 0.4254 Se

***

[3]
Tl2Ir | PBE | relaxed

Structure (POSCAR):
```
Tl2Ir
1.0
3.2050 0.0000 0.0000
0.0000 3.2050 0.0000
0.0000 0.0000 13.3799
Tl Ir
4 2
direct
0.0000 0.0000 0.1396 Tl
0.0000 0.0000 0.8604 Tl
0.5000 0.5000 0.3604 Tl
0.5000 0.5000 0.6396 Tl
0.0000 0.0000 0.5000 Ir
0.5000 0.5000 0.0000 Ir
```

***

Number 1: DOS(E_F) 4.01 states/eV/f.u., magnetic moment 0.0 μB per formula unit, electronic total energy -1.2153 eV/atom. Number 2: DOS(E_F) 0.03 states/eV/f.u., magnetic moment 5.0 μB per formula unit, electronic total energy -5.9352 eV/atom. Number 3: DOS(E_F) 1.68 states/eV/f.u., magnetic moment 0.0 μB per formula unit, electronic total energy -4.0668 eV/atom.